12
Lattice="6.697 -2.881 0.000 6.697 2.881 0.000 -6.428 0.000 9.586" Properties=species:S:1:pos:R:3 comment="Tb4NdTl7 | the Alexandria database | PBE | relaxed" e_form_ev_per_atom=-0.1255 pbc="T T T"
Tb -0.657 0.000 2.709
Tb -2.362 0.000 7.954
Tb 9.329 0.000 1.633
Tb 7.623 0.000 6.877
Nd 3.483 0.000 4.793
Tl -3.214 0.000 4.793
Tl 1.516 0.000 0.414
Tl -0.073 0.000 5.791
Tl 4.517 0.000 1.656
Tl 2.449 0.000 7.930
Tl 7.040 0.000 3.796
Tl 5.450 0.000 9.173



5
Lattice="3.935 0.000 0.000 0.000 3.935 0.000 0.000 0.000 3.935" Properties=species:S:1:pos:R:3 comment="Cu3ReO | the Alexandria database | PBE | relaxed" formation_energy_uncorrected_ev_per_atom=0.647 de_polymorph_ev_per_atom=0.0000 pbc="T T T"
Cu 0.000 0.000 1.967
Cu 0.000 1.967 0.000
Cu 1.967 0.000 0.000
Re 1.967 1.967 1.967
O 0.000 0.000 0.000



no.,theoretical density (g/cm3)
1,9.924
2,10.708